Rb2Mg3Tl12Sn | PBE-GGA | relaxed

Results
DOS(E_F) = 0.4985 states/eV per atom
Magnetization = 0.0 μB per formula unit
E_tot = -38.1 eV/cell
Energy of formation from the pure elements = 56 meV per atom
V = 34.67 A^3/atom

The structure in POSCAR format:
```
Rb2Mg3Tl12Sn
1.0
3.923 2.265 11.708
-3.923 2.265 11.708
0.000 -4.529 11.708
Rb Mg Tl Sn
2 3 12 1
direct
0.146 0.146 0.146
0.854 0.854 0.854
0.000 0.500 0.500
0.500 0.000 0.500
0.500 0.500 0.000
0.089 0.089 0.683
0.089 0.683 0.089
0.128 0.583 0.583
0.317 0.911 0.911
0.417 0.417 0.872
0.417 0.872 0.417
0.583 0.128 0.583
0.583 0.583 0.128
0.683 0.089 0.089
0.872 0.417 0.417
0.911 0.317 0.911
0.911 0.911 0.317
0.500 0.500 0.500
```

---

TeRh2I | PBE-GGA | relaxed

Results
Energy above the lowest structure with this stoichiometry = 61.8 kJ/mol of formula units
DOS(E_F) = 0.9651 states/eV per atom
Magnetization = 0.0 μB per formula unit
E_tot = -72.7 eV/cell
Raw formation energy = 305 meV per atom
V = 19.36 A^3/atom

The structure in POSCAR format:
```
TeRh2I
1.0
6.766 0.000 0.000
0.000 6.766 0.000
0.000 0.000 6.766
Te Rh I
4 8 4
direct
0.000 0.000 0.000
0.000 0.500 0.500
0.500 0.000 0.500
0.500 0.500 0.000
0.250 0.250 0.250
0.250 0.250 0.750
0.250 0.750 0.250
0.250 0.750 0.750
0.750 0.250 0.250
0.750 0.250 0.750
0.750 0.750 0.250
0.750 0.750 0.750
0.000 0.000 0.500
0.000 0.500 0.000
0.500 0.000 0.000
0.500 0.500 0.500
```

---

Cu2AgP2 | PBE-GGA | relaxed

Results
Energy above the lowest structure with this stoichiometry = 65.9 kJ/mol of formula units
DOS(E_F) = 0.2179 states/eV per atom
Magnetization = 0.0 μB per formula unit
E_tot = -41.5 eV/cell
Energy of formation from the pure elements = 222 meV per atom
V = 14.88 A^3/atom

The structure in POSCAR format:
```
Cu2AgP2
1.0
3.496 0.000 0.000
0.000 3.496 0.000
0.000 0.000 12.177
Cu Ag P
4 2 4
direct
0.000 0.000 0.104
0.000 0.000 0.896
0.500 0.500 0.396
0.500 0.500 0.604
0.000 0.000 0.500
0.500 0.500 0.000
0.000 0.500 0.250
0.000 0.500 0.750
0.500 0.000 0.250
0.500 0.000 0.750
```

---

Tm2InSn4 | PBE-GGA | relaxed

Results
Energy above the lowest structure with this stoichiometry = 0.0 kJ/mol of formula units
DOS(E_F) = 0.4937 states/eV per atom
Magnetization = 0.0 μB per formula unit
E_tot = -60.3 eV/cell
Energy of formation from the pure elements = -352 meV per atom
V = 27.38 A^3/atom

The structure in POSCAR format:
```
Tm2InSn4
1.0
8.958 0.000 0.000
0.000 9.248 0.000
-4.421 0.000 4.627
Tm In Sn
4 2 8
direct
0.250 0.250 0.000
0.250 0.750 0.000
0.750 0.250 0.000
0.750 0.750 0.000
0.000 0.000 0.500
0.500 0.500 0.500
0.000 0.000 0.000
0.000 0.500 0.000
0.250 0.250 0.500
0.250 0.750 0.500
0.500 0.000 0.000
0.500 0.500 0.000
0.750 0.250 0.500
0.750 0.750 0.500
```

---

NaAcF5 | PBE-GGA | relaxed

Results
DOS(E_F) = 1.0180 states/eV per atom
Magnetization = 0.4 μB per formula unit
E_tot = -146.3 eV/cell
Raw formation energy = -3114 meV per atom
V = 17.36 A^3/atom

The structure in POSCAR format:
```
NaAcF5
1.0
4.681 0.000 0.000
0.000 13.195 0.000
-2.921 0.000 7.872
Na Ac F
4 4 20
direct
0.175 0.235 0.454
0.175 0.265 0.954
0.825 0.735 0.046
0.825 0.765 0.546
0.397 0.034 0.241
0.397 0.466 0.741
0.603 0.534 0.259
0.603 0.966 0.759
0.041 0.603 0.550
0.041 0.897 0.050
0.065 0.576 0.187
0.065 0.924 0.687
0.343 0.217 0.230
0.343 0.283 0.730
0.431 0.099 0.944
0.431 0.401 0.444
0.459 0.600 0.955
0.459 0.900 0.455
0.541 0.100 0.545
0.541 0.400 0.045
0.569 0.599 0.556
0.569 0.901 0.056
0.657 0.717 0.270
0.657 0.783 0.770
0.935 0.076 0.313
0.935 0.424 0.813
0.959 0.103 0.950
0.959 0.397 0.450
```

---

CrTeRh2 | PBE-GGA | relaxed

Results
DOS(E_F) = 1.4099 states/eV per atom
Magnetization = 2.9 μB per formula unit
E_tot = -55.1 eV/cell
Raw formation energy = -15 meV per atom
V = 15.79 A^3/atom

The structure in POSCAR format:
```
CrTeRh2
1.0
4.055 0.000 0.000
0.000 4.055 0.000
0.000 0.000 7.683
Cr Te Rh
2 2 4
direct
0.000 0.000 0.000
0.500 0.500 0.500
0.000 0.000 0.500
0.500 0.500 0.000
0.000 0.500 0.250
0.000 0.500 0.750
0.500 0.000 0.250
0.500 0.000 0.750
```

---

Dy3Er3Au4 | PBE-GGA | relaxed

Results
DOS(E_F) = 1.3265 states/eV per atom
Magnetization = 0.0 μB per formula unit
E_tot = -47.7 eV/cell
Energy of formation from the pure elements = -709 meV per atom
V = 25.03 A^3/atom

The structure in POSCAR format:
```
Dy3Er3Au4
1.0
3.770 0.000 0.000
0.000 5.789 5.735
0.000 -5.789 5.735
Dy Er Au
3 3 4
direct
0.000 0.000 0.000
0.000 0.177 0.502
0.000 0.502 0.177
0.000 0.675 0.675
0.500 0.339 0.839
0.500 0.839 0.339
0.500 0.205 0.205
0.500 0.473 0.473
0.500 0.703 0.970
0.500 0.970 0.703
```

---

YTiIr2C | PBE-GGA | relaxed

Results
DOS(E_F) = 1.6585 states/eV per atom
Magnetization = 0.0 μB per formula unit
E_tot = -31.2 eV/cell
Energy of formation from the pure elements = 2029 meV per atom
V = 21.30 A^3/atom

The structure in POSCAR format:
```
YTiIr2C
1.0
5.006 0.000 0.000
0.000 5.006 0.000
0.000 0.000 4.250
Y Ti Ir C
1 1 2 1
direct
0.000 0.000 0.000
0.500 0.500 0.500
0.000 0.500 0.000
0.500 0.000 0.000
0.000 0.000 0.500
```

---

ErSiGe2Ru2 | PBE-GGA | relaxed

Results
DOS(E_F) = 1.0152 states/eV per atom
Magnetization = 0.2 μB per formula unit
E_tot = -39.0 eV/cell
Raw formation energy = -211 meV per atom
V = 18.14 A^3/atom

The structure in POSCAR format:
```
ErSiGe2Ru2
1.0
4.454 0.000 0.000
0.000 4.454 0.000
0.000 0.000 5.485
Er Si Ge Ru
1 1 2 2
direct
0.000 0.000 0.000
0.000 0.000 0.500
0.500 0.500 0.224
0.500 0.500 0.776
0.000 0.500 0.500
0.500 0.000 0.500
```

---

PrPaCo2 | PBE-GGA | relaxed

Results
Energy above the lowest structure with this stoichiometry = 45.3 kJ/mol of formula units
DOS(E_F) = 1.1955 states/eV per atom
Magnetization = 0.0 μB per formula unit
E_tot = -29.2 eV/cell
Energy of formation from the pure elements = -185 meV per atom
V = 19.80 A^3/atom

The structure in POSCAR format:
```
PrPaCo2
1.0
3.354 0.000 0.000
0.000 3.354 0.000
0.000 0.000 7.041
Pr Pa Co
1 1 2
direct
0.000 0.000 0.000
0.000 0.000 0.500
0.500 0.500 0.312
0.500 0.500 0.688
```

---

Fe3AuCl | PBE-GGA | relaxed

Results
Energy above the lowest structure with this stoichiometry = 268.6 kJ/mol of formula units
DOS(E_F) = 1.5877 states/eV per atom
Magnetization = 10.4 μB per formula unit
E_tot = -24.6 eV/cell
Raw formation energy = 1185 meV per atom
V = 23.22 A^3/atom

The structure in POSCAR format:
```
Fe3AuCl
1.0
4.879 0.000 0.000
0.000 4.879 0.000
0.000 0.000 4.879
Fe Au Cl
3 1 1
direct
0.000 0.000 0.500
0.000 0.500 0.000
0.500 0.000 0.000
0.000 0.000 0.000
0.500 0.500 0.500
```

---

In2Sn2Pb5 | PBE-GGA | relaxed

Results
Energy above the lowest structure with this stoichiometry = 0.0 kJ/mol of formula units
DOS(E_F) = 0.7191 states/eV per atom
Magnetization = 0.0 μB per formula unit
E_tot = -31.5 eV/cell
Energy of formation from the pure elements = 61 meV per atom
V = 29.86 A^3/atom

The structure in POSCAR format:
```
In2Sn2Pb5
1.0
7.802 -2.929 0.000
7.802 2.929 0.000
-1.395 0.000 5.880
In Sn Pb
2 2 5
direct
0.168 0.168 0.330
0.832 0.832 0.670
0.272 0.272 0.892
0.728 0.728 0.108
0.054 0.054 0.775
0.384 0.384 0.447
0.500 0.500 0.000
0.616 0.616 0.553
0.946 0.946 0.225
```